1.
This record from Alexandria via LeMat-Bulk describes a relaxed LiTaIr crystal. The functional is PBE.

Properties
As for the crystal system: trigonal. As for the calculated formation energy: -0.234 eV per atom. For the total magnetization, the calculation gives 0.0 μB per formula unit.

Structure (CIF):
```
data_LiTaIr
_symmetry_space_group_name_H-M 'P 3 m 1'
_symmetry_Int_Tables_number 156
_symmetry_space_group_name_Hall 'P 3 -2"'
_cell_length_a 4.2905
_cell_length_b 4.2905
_cell_length_c 2.7962
_cell_angle_alpha 90.00
_cell_angle_beta 90.00
_cell_angle_gamma 120.00
loop_
_atom_site_label
_atom_site_type_symbol
_atom_site_fract_x
_atom_site_fract_y
_atom_site_fract_z
Li1 Li 0.0000 0.0000 0.0000
Ta1 Ta 0.3333 0.6667 0.3737
Ir1 Ir 0.6667 0.3333 0.7283
```

---

2.
This record from Alexandria via LeMat-Bulk describes a relaxed Ba4SrMg5 crystal. The functional is PBE.

Properties
As for the crystal system: tetragonal. As for the calculated formation energy: -0.057 eV per atom. For the total magnetization, the calculation gives 0.0 μB per formula unit.

Structure (CIF):
```
data_Ba4SrMg5
_symmetry_space_group_name_H-M 'P 4/m m m'
_symmetry_Int_Tables_number 123
_symmetry_space_group_name_Hall '-P 4 2'
_cell_length_a 4.320
_cell_length_b 4.320
_cell_length_c 21.732
_cell_angle_alpha 90.00
_cell_angle_beta 90.00
_cell_angle_gamma 90.00
loop_
_atom_site_label
_atom_site_type_symbol
_atom_site_fract_x
_atom_site_fract_y
_atom_site_fract_z
Ba1 Ba 0.000 0.000 0.102
Ba2 Ba 0.000 0.000 0.306
Sr1 Sr 0.000 0.000 0.500
Mg1 Mg 0.500 0.500 0.000
Mg2 Mg 0.500 0.500 0.204
Mg3 Mg 0.500 0.500 0.409
```

---

3.
This record from Alexandria via LeMat-Bulk describes a relaxed RbTeN crystal. The functional is PBE.

Properties
As for the crystal system: monoclinic. For the total magnetization, the calculation gives 0.0 μB per formula unit. The uncorrected formation energy is 0.186 eV per atom.

Structure (CIF):
```
data_RbTeN
_symmetry_space_group_name_H-M 'P 1 21/m 1'
_symmetry_Int_Tables_number 11
_symmetry_space_group_name_Hall '-P 2yb'
_cell_length_a 6.239
_cell_length_b 3.604
_cell_length_c 7.505
_cell_angle_alpha 90.00
_cell_angle_beta 101.08
_cell_angle_gamma 90.00
loop_
_atom_site_label
_atom_site_type_symbol
_atom_site_fract_x
_atom_site_fract_y
_atom_site_fract_z
Rb1 Rb 0.213 0.250 0.336
Te1 Te 0.330 0.250 0.829
N1 N 0.289 0.750 0.676
```

---

4.
This record from Alexandria via LeMat-Bulk describes a relaxed Nd2ThCu crystal. The functional is PBE.

Properties
As for the crystal system: tetragonal. As for the calculated formation energy: -0.042 eV per atom. For the total magnetization, the calculation gives 0.0 μB per formula unit.

Structure (CIF):
```
data_Nd2ThCu
_symmetry_space_group_name_H-M 'P 4/m m m'
_symmetry_Int_Tables_number 123
_symmetry_space_group_name_Hall '-P 4 2'
_cell_length_a 3.632
_cell_length_b 3.632
_cell_length_c 8.520
_cell_angle_alpha 90.00
_cell_angle_beta 90.00
_cell_angle_gamma 90.00
loop_
_atom_site_label
_atom_site_type_symbol
_atom_site_fract_x
_atom_site_fract_y
_atom_site_fract_z
Nd1 Nd 0.000 0.000 0.209
Th1 Th 0.500 0.500 0.500
Cu1 Cu 0.500 0.500 0.000
```

---

5.
This record from Alexandria via LeMat-Bulk describes a relaxed AcPm2I6 crystal. The functional is PBE.

Properties
As for the crystal system: trigonal. For the total magnetization, the calculation gives 0.0 μB per formula unit. The uncorrected formation energy is -1.241 eV per atom.

Structure (CIF):
```
data_AcPm2I6
_symmetry_space_group_name_H-M 'R 3'
_symmetry_Int_Tables_number 146
_symmetry_space_group_name_Hall 'R 3'
_cell_length_a 7.8978
_cell_length_b 7.8978
_cell_length_c 21.5062
_cell_angle_alpha 90.00
_cell_angle_beta 90.00
_cell_angle_gamma 120.00
loop_
_atom_site_label
_atom_site_type_symbol
_atom_site_fract_x
_atom_site_fract_y
_atom_site_fract_z
Ac1 Ac 0.0000 0.0000 0.0000
Pm1 Pm 0.0000 0.0000 0.6635
Pm2 Pm 0.0000 0.0000 0.8278
I1 I 0.0057 0.3276 0.2432
I2 I 0.0179 0.6484 0.0801
```

---

6.
This record from Alexandria via LeMat-Bulk describes a relaxed AcMgSiPt crystal. The functional is PBE.

Properties
As for the crystal system: tetragonal. For the total magnetization, the calculation gives 0.0 μB per formula unit. The uncorrected formation energy is -0.596 eV per atom.

Structure (CIF):
```
data_AcMgSiPt
_symmetry_space_group_name_H-M 'P 4/n m m'
_symmetry_Int_Tables_number 129
_cell_length_a 4.325
_cell_length_b 4.325
_cell_length_c 10.375
_cell_angle_alpha 90.00
_cell_angle_beta 90.00
_cell_angle_gamma 90.00
loop_
_symmetry_equiv_pos_as_xyz
'x,y,z'
'-x,-y,-z'
'-y+1/2,x,z'
'y+1/2,-x,-z'
'-x+1/2,-y+1/2,z'
'x+1/2,y+1/2,-z'
'y,-x+1/2,z'
'-y,x+1/2,-z'
'x+1/2,-y,-z'
'-x+1/2,y,z'
'-y,-x,-z'
'y,x,z'
'-x,y+1/2,-z'
'x,-y+1/2,z'
'y+1/2,x+1/2,-z'
'-y+1/2,-x+1/2,z'
loop_
_atom_site_label
_atom_site_type_symbol
_atom_site_fract_x
_atom_site_fract_y
_atom_site_fract_z
Ac1 Ac 0.250 0.250 0.198
Mg1 Mg 0.250 0.750 0.500
Si1 Si 0.250 0.250 0.659
Pt1 Pt 0.250 0.250 0.890
```

---

7.
This record from Alexandria via LeMat-Bulk describes a relaxed Al2MoRu crystal. The functional is PBE.

Properties
As for the crystal system: trigonal. As for the calculated formation energy: -0.196 eV per atom. For the total magnetization, the calculation gives 0.0 μB per formula unit.

Structure (CIF):
```
data_Al2MoRu
_symmetry_space_group_name_H-M 'R -3 m'
_symmetry_Int_Tables_number 166
_symmetry_space_group_name_Hall '-R 3 2"'
_cell_length_a 2.8534
_cell_length_b 2.8534
_cell_length_c 25.4379
_cell_angle_alpha 90.00
_cell_angle_beta 90.00
_cell_angle_gamma 120.00
loop_
_atom_site_label
_atom_site_type_symbol
_atom_site_fract_x
_atom_site_fract_y
_atom_site_fract_z
Al1 Al 0.0000 0.0000 0.2453
Mo1 Mo 0.0000 0.0000 0.0000
Ru1 Ru 0.0000 0.0000 0.5000
```

---

8.
This record from Alexandria via LeMat-Bulk describes a relaxed BaTe2WI crystal. The functional is PBE.

Properties
As for the crystal system: tetragonal. For the total magnetization, the calculation gives 3.0 μB per formula unit. The uncorrected formation energy is 1.241 eV per atom.

Structure (CIF):
```
data_BaTe2WI
_symmetry_space_group_name_H-M 'P 4/m m m'
_symmetry_Int_Tables_number 123
_symmetry_space_group_name_Hall '-P 4 2'
_cell_length_a 6.683
_cell_length_b 6.683
_cell_length_c 6.464
_cell_angle_alpha 90.00
_cell_angle_beta 90.00
_cell_angle_gamma 90.00
loop_
_atom_site_label
_atom_site_type_symbol
_atom_site_fract_x
_atom_site_fract_y
_atom_site_fract_z
Ba1 Ba 0.000 0.000 0.000
Te1 Te 0.000 0.500 0.000
W1 W 0.500 0.500 0.500
I1 I 0.000 0.000 0.500
```

---

The following V values (in Å³/atom) correspond, in order, to the records above: 14.86; 40.55; 27.61; 28.10; 43.03; 24.26; 14.95; 57.74.